[1]
First-principles (GGA-PBE) data for a geometry-optimized MnBe3Nb structure, as listed in Alexandria.

Unit cell a=3.879 b=3.879 c=3.879 alpha=90.00 beta=90.00 gamma=90.00
Space group Pm-3m (No. 221)
One atom of each set of equivalent atoms:
Mn 0.000 0.000 0.000
Be 0.000 0.000 0.500
Nb 0.500 0.500 0.500

Results
- V (Å³ per atom) = 11.67
- VASP energy (eV/atom) = -5.584

[2]
First-principles (GGA-PBE) data for a geometry-optimized Ce3Ho13 structure, as listed in Alexandria.

Unit cell a=7.089 b=11.321 c=12.307 alpha=90.00 beta=90.00 gamma=90.00
Space group Amm2 (No. 38)
One atom of each set of equivalent atoms:
Ce 0.000 0.000 0.000
Ce 0.198 0.000 0.782
Ho 0.000 0.000 0.521
Ho 0.000 0.243 0.181
Ho 0.250 0.245 0.434
Ho 0.252 0.000 0.265
Ho 0.500 0.000 0.014
Ho 0.500 0.000 0.520
Ho 0.500 0.242 0.688

Results
- V (Å³ per atom) = 30.87
- VASP energy (eV/atom) = -4.790

[3]
First-principles (GGA-PBE) data for a geometry-optimized PrYPu2P4 structure, as listed in Alexandria.

Unit cell a=6.999 b=4.056 c=7.008 alpha=90.00 beta=109.64 gamma=90.00
Space group P2/m (No. 10)
One atom of each set of equivalent atoms:
Pr 0.000 0.000 0.000
Y 0.000 0.500 0.500
Pu 0.500 0.000 0.500
Pu 0.500 0.500 0.000
P 0.259 0.000 0.748
P 0.264 0.500 0.262

Results
- V (Å³ per atom) = 23.42
- VASP energy (eV/atom) = -9.014